Mg3Ga2Br8, relaxed, DFT PBE; space-group type = C2/m (12); uncorrected energy = -39.4 eV for the cell shown; total magnetic moment = 0.000 μB/f.u.; formation energy from raw total energies = -1.17 eV per atom
1.0
-6.548 1.738 -1.322
-2.094 -7.668 0.292
1.966 3.873 7.482
Mg Ga Br
3 2 8
Direct
0.500 0.000 0.000
0.000 0.257 0.000
0.000 0.743 0.000
0.656 0.727 0.454
0.344 0.273 0.546
0.061 0.392 0.784
0.939 0.608 0.216
0.100 0.899 0.798
0.900 0.101 0.202
0.394 0.869 0.206
0.394 0.337 0.206
0.606 0.663 0.794
0.606 0.131 0.794